The following is a DFT calculation (PBE-GGA) of FeAs2P after structural relaxation.

Summary:
SG: P4/mmm, No. 123
Spin magnetization, μB per formula unit: 0.000
Calculated total energy, hartree per atom: -0.2016

abc: 2.785 2.785 8.268
angles: 90.00 90.00 89.99
Element x y z (fractional)
1 P 0.500 0.500 0.750
2 As 0.000 0.000 0.062
3 Fe 0.500 0.500 0.250
4 As 0.000 0.000 0.438



The following is a DFT calculation (PBE-GGA) of FeAsP2 after structural relaxation.

Summary:
SG: R-3m, No. 166
Spin magnetization, μB per formula unit: 1.412
Calculated total energy, hartree per atom: -0.2153

abc: 8.163 8.163 8.163
angles: 20.59 20.59 20.59
Each line ends with the local moment (μB).
Element x y z (fractional)
1 P 0.482 0.482 0.482  -0.01
2 P 0.018 0.018 0.018  -0.01
3 As 0.250 0.250 0.250  0.03
4 Fe 0.750 0.750 0.750  1.38



The following is a DFT calculation (PBE-GGA) of FeAsP3 after structural relaxation.

Summary:
SG: Pm-3m, No. 221
Spin magnetization, μB per formula unit: 0.000
Calculated total energy, hartree per atom: -0.1952

abc: 4.351 4.351 4.351
angles: 90.00 90.00 90.00
Element x y z (fractional)
1 As 0.500 0.500 0.500
2 Fe 0.000 0.000 0.000
3 P 0.000 0.000 0.500
4 P 0.000 0.500 0.000
5 P 0.500 0.000 0.000



The following is a DFT calculation (PBE-GGA) of FeAs2P after structural relaxation.

Summary:
SG: Pm, No. 6
Spin magnetization, μB per formula unit: 0.000
Calculated total energy, hartree per atom: -0.2071

abc: 3.965 3.669 5.033
angles: 81.98 90.00 90.00
Element x y z (fractional)
1 As 0.000 0.990 0.907
2 P 0.500 0.731 0.658
3 As 0.500 0.276 0.340
4 Fe 0.000 0.503 0.595



The following is a DFT calculation (PBE-GGA) of Fe4As2P11 after structural relaxation.

Summary:
SG: P-1, No. 2
Spin magnetization, μB per formula unit: 0.000
Calculated total energy, hartree per atom: -0.2260

abc: 8.224 6.139 6.981
angles: 117.18 121.32 90.44
Element x y z (fractional)
1 P 0.495 0.187 0.950
2 As 0.866 0.364 0.728
3 P 0.505 0.813 0.050
4 Fe 0.638 0.621 0.268
5 P 0.879 0.836 0.290
6 P 0.308 0.035 0.368
7 P 0.692 0.965 0.632
8 P 0.121 0.164 0.710
9 P 0.423 0.443 0.293
10 Fe 0.362 0.379 0.732
11 As 0.134 0.636 0.272
12 P 0.000 0.000 0.000
13 Fe 0.733 0.981 0.006
14 P 0.577 0.557 0.707
15 P 0.835 0.386 0.370
16 Fe 0.267 0.019 0.994
17 P 0.165 0.614 0.630



The following is a DFT calculation (PBE-GGA) of FeAs2P after structural relaxation.

Summary:
SG: Cmmm, No. 65
Spin magnetization, μB per formula unit: 2.295
Calculated total energy, hartree per atom: -0.1947

abc: 4.474 4.474 3.225
angles: 90.00 90.00 103.95
Each line ends with the local moment (μB).
Element x y z (fractional)
1 P 0.000 0.500 0.500  0.02
2 As 0.000 0.000 0.000  -0.04
3 As 0.500 0.500 0.000  -0.04
4 Fe 0.500 0.000 0.500  2.39